(1)
Compound: HgPRu2
Source: the Alexandria database
Functional: PBE
Structure: relaxed

Unit cell a=4.282 b=4.282 c=6.560 alpha=103.04 beta=103.04 gamma=40.39
Fractional positions:
1 Hg 0.000 0.000 0.000
2 P 0.148 0.148 0.587
3 Ru 0.435 0.435 0.612
4 Ru 0.696 0.696 0.342

Output
density of states at the Fermi level	1.737	states/eV/cell
energy relative to the elements	101	meV per atom
energy above the most stable polymorph in this dataset	162	meV/atom
size of the total moment	0.00	μB/cell

(2)
Compound: Hg2PRu2
Source: the Alexandria database
Functional: PBE
Structure: relaxed

Unit cell a=6.060 b=6.060 c=4.751 alpha=90.00 beta=90.00 gamma=90.00
Fractional positions:
1 Hg 0.167 0.333 0.000
2 Hg 0.333 0.833 0.000
3 Hg 0.667 0.167 0.000
4 Hg 0.833 0.667 0.000
5 P 0.000 0.000 0.500
6 P 0.500 0.500 0.500
7 Ru 0.157 0.657 0.500
8 Ru 0.343 0.157 0.500
9 Ru 0.657 0.843 0.500
10 Ru 0.843 0.343 0.500

Output
density of states at the Fermi level	5.379	states/eV/cell
energy relative to the elements	58	meV per atom
size of the total moment	0.00	μB/cell

(3)
Compound: HgPRu2
Source: the Alexandria database
Functional: PBE
Structure: relaxed

Unit cell a=5.138 b=5.138 c=2.947 alpha=105.64 beta=105.64 gamma=110.86
Fractional positions:
1 Hg 0.000 0.000 0.000
2 P 0.500 0.500 0.000
3 Ru 0.000 0.500 0.500
4 Ru 0.500 0.000 0.500

Output
density of states at the Fermi level	4.507	states/eV/cell
energy relative to the elements	651	meV per atom
energy above the most stable polymorph in this dataset	712	meV/atom
size of the total moment	0.00	μB/cell

(4)
Compound: HgPRu2S
Source: the Alexandria database
Functional: PBE
Structure: relaxed

Unit cell a=4.325 b=4.325 c=5.159 alpha=90.00 beta=90.00 gamma=90.00
Fractional positions:
1 Hg 0.000 0.000 0.000
2 P 0.500 0.500 0.000
3 Ru 0.000 0.500 0.500
4 Ru 0.500 0.000 0.500
5 S 0.000 0.000 0.500

Output
density of states at the Fermi level	5.089	states/eV/cell
E_form (uncorrected)	476	kJ/mol of formula units
size of the total moment	0.48	μB/cell

(5)
Compound: TcHg2PRu
Source: the Alexandria database
Functional: PBE
Structure: relaxed

Unit cell a=5.261 b=5.261 c=4.382 alpha=90.00 beta=90.00 gamma=90.00
Fractional positions:
1 Tc 0.000 0.000 0.000
2 Hg 0.000 0.500 0.000
3 Hg 0.500 0.000 0.000
4 P 0.000 0.000 0.500
5 Ru 0.500 0.500 0.500

Output
density of states at the Fermi level	2.667	states/eV/cell
energy relative to the elements	1149	meV per atom
size of the total moment	2.98	μB/cell

(6)
Compound: Ti2HgPRu
Source: the Alexandria database
Functional: PBE
Structure: relaxed

Unit cell a=4.511 b=4.511 c=4.687 alpha=90.00 beta=90.00 gamma=90.00
Fractional positions:
1 Ti 0.000 0.500 0.000
2 Ti 0.500 0.000 0.000
3 Hg 0.000 0.000 0.500
4 P 0.000 0.000 0.000
5 Ru 0.500 0.500 0.500

Output
density of states at the Fermi level	4.919	states/eV/cell
energy relative to the elements	483	meV per atom
size of the total moment	0.00	μB/cell

(7)
Compound: Zr2HgPRu
Source: the Alexandria database
Functional: PBE
Structure: relaxed

Unit cell a=4.934 b=4.934 c=5.070 alpha=90.00 beta=90.00 gamma=90.00
Fractional positions:
1 Zr 0.000 0.500 0.000
2 Zr 0.500 0.000 0.000
3 Hg 0.000 0.000 0.500
4 P 0.500 0.500 0.500
5 Ru 0.000 0.000 0.000

Output
density of states at the Fermi level	3.521	states/eV/cell
energy relative to the elements	470	meV per atom
size of the total moment	0.00	μB/cell

(8)
Compound: HgPS2
Source: the Alexandria database
Functional: PBE
Structure: relaxed

Unit cell a=7.723 b=7.723 c=7.723 alpha=139.82 beta=139.82 gamma=58.13
Fractional positions:
1 Hg 0.000 0.000 0.000
2 Hg 0.750 0.250 0.500
3 P 0.250 0.750 0.500
4 P 0.500 0.500 0.000
5 S 0.183 0.625 0.058
6 S 0.375 0.433 0.558
7 S 0.567 0.125 0.942
8 S 0.875 0.817 0.442

Output
density of states at the Fermi level	1.603	states/eV/cell
E_form (uncorrected)	106	kJ/mol of formula units
energy above the most stable polymorph in this dataset	375	meV/atom
size of the total moment	0.00	μB/cell

(9)
Compound: Hg3PS4
Source: the Alexandria database
Functional: PBE
Structure: relaxed

Unit cell a=8.185 b=6.432 c=7.991 alpha=90.00 beta=90.00 gamma=90.00
Fractional positions:
1 Hg 0.000 0.142 0.000
2 Hg 0.231 0.664 0.036
3 Hg 0.269 0.336 0.536
4 Hg 0.500 0.858 0.500
5 Hg 0.731 0.336 0.536
6 Hg 0.769 0.664 0.036
7 P 0.000 0.806 0.426
8 P 0.500 0.194 0.926
9 S 0.000 0.472 0.388
10 S 0.000 0.537 0.865
11 S 0.206 0.908 0.283
12 S 0.294 0.092 0.783
13 S 0.500 0.463 0.365
14 S 0.500 0.528 0.888
15 S 0.706 0.092 0.783
16 S 0.794 0.908 0.283

Output
density of states at the Fermi level	4.550	states/eV/cell
E_form (uncorrected)	19	kJ/mol of formula units
size of the total moment	0.00	μB/cell

(10)
Compound: HgPS2
Source: the Alexandria database
Functional: PBE
Structure: relaxed

Unit cell a=6.721 b=6.721 c=6.659 alpha=115.82 beta=115.82 gamma=52.77
Fractional positions:
1 Hg 0.204 0.204 0.183
2 Hg 0.796 0.796 0.817
3 P 0.310 0.616 0.629
4 P 0.384 0.690 0.371
5 S 0.056 0.057 0.335
6 S 0.314 0.419 0.069
7 S 0.581 0.686 0.931
8 S 0.943 0.944 0.665

Output
E_form (uncorrected)	-39	kJ/mol of formula units
energy above the most stable polymorph in this dataset	0	meV/atom
size of the total moment	0.00	μB/cell

(11)
Compound: HgPS3
Source: the Alexandria database
Functional: PBE
Structure: relaxed

Unit cell a=6.246 b=7.868 c=12.227 alpha=90.00 beta=115.37 gamma=90.00
Fractional positions:
1 Hg 0.090 0.128 0.129
2 Hg 0.090 0.372 0.629
3 Hg 0.910 0.628 0.371
4 Hg 0.910 0.872 0.871
5 P 0.484 0.106 0.932
6 P 0.484 0.394 0.432
7 P 0.516 0.606 0.568
8 P 0.516 0.894 0.068
9 S 0.157 0.204 0.870
10 S 0.157 0.296 0.370
11 S 0.275 0.710 0.972
12 S 0.275 0.790 0.472
13 S 0.484 0.005 0.212
14 S 0.484 0.495 0.712
15 S 0.516 0.505 0.288
16 S 0.516 0.995 0.788
17 S 0.725 0.210 0.528
18 S 0.725 0.290 0.028
19 S 0.843 0.704 0.630
20 S 0.843 0.796 0.130

Output
density of states at the Fermi level	0.000	states/eV/cell
E_form (uncorrected)	-94	kJ/mol of formula units
size of the total moment	0.00	μB/cell

(12)
Compound: HgPS3
Source: the Alexandria database
Functional: PBE
Structure: relaxed

Unit cell a=4.579 b=4.579 c=4.579 alpha=90.00 beta=90.00 gamma=90.00
Fractional positions:
1 Hg 0.000 0.000 0.000
2 P 0.500 0.500 0.500
3 S 0.000 0.500 0.500
4 S 0.500 0.000 0.500
5 S 0.500 0.500 0.000

Output
density of states at the Fermi level	2.716	states/eV/cell
E_form (uncorrected)	219	kJ/mol of formula units
size of the total moment	0.00	μB/cell

(13)
Compound: HgP2S6
Source: the Alexandria database
Functional: PBE
Structure: relaxed

Unit cell a=9.363 b=9.363 c=5.710 alpha=107.61 beta=107.61 gamma=89.83
Fractional positions:
1 Hg 0.242 0.758 0.750
2 Hg 0.758 0.242 0.250
3 P 0.152 0.312 0.302
4 P 0.312 0.152 0.802
5 P 0.688 0.848 0.198
6 P 0.848 0.688 0.698
7 S 0.058 0.638 0.878
8 S 0.108 0.217 0.576
9 S 0.217 0.108 0.076
10 S 0.307 0.479 0.408
11 S 0.362 0.942 0.622
12 S 0.479 0.307 0.908
13 S 0.521 0.693 0.092
14 S 0.638 0.058 0.378
15 S 0.693 0.521 0.592
16 S 0.783 0.892 0.924
17 S 0.892 0.783 0.424
18 S 0.942 0.362 0.122

Output
density of states at the Fermi level	0.000	states/eV/cell
E_form (uncorrected)	-116	kJ/mol of formula units
energy above the most stable polymorph in this dataset	0	meV/atom
size of the total moment	0.00	μB/cell

(14)
Compound: Hg4PS6
Source: the Alexandria database
Functional: PBE
Structure: relaxed

Unit cell a=7.445 b=7.445 c=12.817 alpha=107.65 beta=107.65 gamma=59.57
Fractional positions:
1 Hg 0.017 0.322 0.795
2 Hg 0.060 0.940 0.500
3 Hg 0.174 0.543 0.141
4 Hg 0.322 0.017 0.295
5 Hg 0.543 0.174 0.641
6 Hg 0.557 0.733 0.992
7 Hg 0.733 0.557 0.492
8 Hg 0.940 0.060 0.000
9 P 0.148 0.701 0.740
10 P 0.701 0.148 0.240
11 S 0.108 0.609 0.567
12 S 0.286 0.796 0.104
13 S 0.321 0.424 0.808
14 S 0.327 0.858 0.788
15 S 0.406 0.926 0.485
16 S 0.424 0.321 0.308
17 S 0.609 0.108 0.067
18 S 0.796 0.286 0.604
19 S 0.858 0.327 0.288
20 S 0.859 0.863 0.789
21 S 0.863 0.859 0.289
22 S 0.926 0.406 0.985

Output
density of states at the Fermi level	5.820	states/eV/cell
E_form (uncorrected)	-112	kJ/mol of formula units
size of the total moment	0.00	μB/cell

(15)
Compound: HgP3S9
Source: the Alexandria database
Functional: PBE
Structure: relaxed

Unit cell a=9.772 b=9.772 c=11.598 alpha=90.00 beta=90.00 gamma=129.15
Fractional positions:
1 Hg 0.166 0.166 0.000
2 Hg 0.834 0.834 0.500
3 P 0.237 0.237 0.500
4 P 0.334 0.594 0.892
5 P 0.406 0.666 0.608
6 P 0.594 0.334 0.108
7 P 0.666 0.406 0.392
8 P 0.763 0.763 0.000
9 S 0.099 0.361 0.942
10 S 0.116 0.117 0.646
11 S 0.117 0.116 0.354
12 S 0.222 0.690 0.641
13 S 0.302 0.489 0.465
14 S 0.310 0.778 0.859
15 S 0.361 0.099 0.058
16 S 0.447 0.553 0.750
17 S 0.489 0.302 0.535
18 S 0.511 0.698 0.035
19 S 0.553 0.447 0.250
20 S 0.639 0.901 0.558
21 S 0.690 0.222 0.359
22 S 0.698 0.511 0.965
23 S 0.778 0.310 0.141
24 S 0.883 0.884 0.854
25 S 0.884 0.883 0.146
26 S 0.901 0.639 0.442

Output
density of states at the Fermi level	1.363	states/eV/cell
E_form (uncorrected)	-77	kJ/mol of formula units
size of the total moment	2.06	μB/cell

(16)
Compound: HgP2S2
Source: the Alexandria database
Functional: PBE
Structure: relaxed

Unit cell a=4.908 b=4.908 c=5.041 alpha=90.00 beta=90.00 gamma=90.00
Fractional positions:
1 Hg 0.000 0.000 0.000
2 P 0.000 0.000 0.500
3 P 0.500 0.500 0.500
4 S 0.000 0.500 0.000
5 S 0.500 0.000 0.000

Output
density of states at the Fermi level	4.167	states/eV/cell
E_form (uncorrected)	719	kJ/mol of formula units
energy above the most stable polymorph in this dataset	879	meV/atom
size of the total moment	0.04	μB/cell

(17)
Compound: HgPS2
Source: the Alexandria database
Functional: PBE
Structure: relaxed

Unit cell a=10.291 b=10.291 c=10.291 alpha=18.46 beta=18.46 gamma=18.46
Fractional positions:
1 Hg 0.000 0.000 0.000
2 P 0.500 0.500 0.500
3 S 0.122 0.122 0.122
4 S 0.878 0.878 0.878

Output
density of states at the Fermi level	2.388	states/eV/cell
E_form (uncorrected)	10	kJ/mol of formula units
energy above the most stable polymorph in this dataset	127	meV/atom
size of the total moment	0.00	μB/cell

(18)
Compound: HgPS4
Source: the Alexandria database
Functional: PBE
Structure: relaxed

Unit cell a=7.100 b=7.100 c=6.477 alpha=116.52 beta=116.52 gamma=27.45
Fractional positions:
1 Hg 0.000 0.000 0.000
2 P 0.500 0.500 0.500
3 S 0.114 0.114 0.492
4 S 0.389 0.389 0.118
5 S 0.611 0.611 0.882
6 S 0.886 0.886 0.508

Output
density of states at the Fermi level	3.809	states/eV/cell
E_form (uncorrected)	130	kJ/mol of formula units
energy above the most stable polymorph in this dataset	223	meV/atom
size of the total moment	0.00	μB/cell

(19)
Compound: HgP2S2
Source: the Alexandria database
Functional: PBE
Structure: relaxed

Unit cell a=5.065 b=5.065 c=4.828 alpha=90.00 beta=90.00 gamma=90.00
Fractional positions:
1 Hg 0.000 0.000 0.000
2 P 0.000 0.500 0.000
3 P 0.500 0.000 0.000
4 S 0.000 0.000 0.500
5 S 0.500 0.500 0.500

Output
density of states at the Fermi level	5.557	states/eV/cell
E_form (uncorrected)	760	kJ/mol of formula units
energy above the most stable polymorph in this dataset	963	meV/atom
size of the total moment	0.54	μB/cell

(20)
Compound: HgPS2
Source: the Alexandria database
Functional: PBE
Structure: relaxed

Unit cell a=7.764 b=7.764 c=7.764 alpha=29.19 beta=29.19 gamma=29.19
Fractional positions:
1 Hg 0.000 0.000 0.000
2 P 0.500 0.500 0.500
3 S 0.404 0.404 0.404
4 S 0.596 0.596 0.596

Output
density of states at the Fermi level	2.407	states/eV/cell
E_form (uncorrected)	163	kJ/mol of formula units
energy above the most stable polymorph in this dataset	524	meV/atom
size of the total moment	0.00	μB/cell

(21)
Compound: Hg3P2S8
Source: the Alexandria database
Functional: PBE
Structure: relaxed

Unit cell a=11.038 b=11.038 c=11.038 alpha=90.00 beta=90.00 gamma=90.00
Fractional positions:
1 Hg 0.105 0.266 0.878
2 Hg 0.122 0.605 0.234
3 Hg 0.234 0.122 0.605
4 Hg 0.266 0.878 0.105
5 Hg 0.378 0.395 0.734
6 Hg 0.395 0.734 0.378
7 Hg 0.605 0.234 0.122
8 Hg 0.622 0.895 0.766
9 Hg 0.734 0.378 0.395
10 Hg 0.766 0.622 0.895
11 Hg 0.878 0.105 0.266
12 Hg 0.895 0.766 0.622
13 P 0.095 0.405 0.595
14 P 0.116 0.884 0.384
15 P 0.384 0.116 0.884
16 P 0.405 0.595 0.095
17 P 0.595 0.095 0.405
18 P 0.616 0.616 0.616
19 P 0.884 0.384 0.116
20 P 0.905 0.905 0.905
21 S 0.003 0.278 0.218
22 S 0.010 0.010 0.010
23 S 0.011 0.989 0.489
24 S 0.018 0.794 0.801
25 S 0.199 0.518 0.706
26 S 0.206 0.301 0.482
27 S 0.218 0.003 0.278
28 S 0.222 0.782 0.503
29 S 0.278 0.218 0.003
30 S 0.282 0.997 0.778
31 S 0.294 0.699 0.982
32 S 0.301 0.482 0.206
33 S 0.482 0.206 0.301
34 S 0.489 0.011 0.989
35 S 0.490 0.990 0.510
36 S 0.497 0.722 0.718
37 S 0.503 0.222 0.782
38 S 0.510 0.490 0.990
39 S 0.511 0.511 0.511
40 S 0.518 0.706 0.199
41 S 0.699 0.982 0.294
42 S 0.706 0.199 0.518
43 S 0.718 0.497 0.722
44 S 0.722 0.718 0.497
45 S 0.778 0.282 0.997
46 S 0.782 0.503 0.222
47 S 0.794 0.801 0.018
48 S 0.801 0.018 0.794
49 S 0.982 0.294 0.699
50 S 0.989 0.489 0.011
51 S 0.990 0.510 0.490
52 S 0.997 0.778 0.282

Output
density of states at the Fermi level	0.000	states/eV/cell
E_form (uncorrected)	-180	kJ/mol of formula units
size of the total moment	0.00	μB/cell